A geometry-optimized GeTeAs2F structure. Source: Alexandria, functional PBE-GGA.

Computed properties:
Uncorrected energy   -3.556 eV per atom
Calculated volume   21.10 A^3/atom
ΔE_f (raw)   230 meV per atom

```
data_GeTeAs2F
_chemical_formula_sum 'Ge1 Te1 As2 F1'
_symmetry_space_group_name_H-M 'P 4/m m m'
_symmetry_Int_Tables_number 123
_symmetry_space_group_name_Hall '-P 4 2'
_cell_length_a 4.834
_cell_length_b 4.834
_cell_length_c 4.516
_cell_angle_alpha 90.00
_cell_angle_beta 90.00
_cell_angle_gamma 90.00
loop_
_atom_site_label
_atom_site_fract_x
_atom_site_fract_y
_atom_site_fract_z
_atom_site_occupancy
Ge1 0.000 0.000 0.000 1
Te1 0.500 0.500 0.000 1
As1 0.000 0.500 0.500 1
F1 0.000 0.000 0.500 1
```